Zn2FeSi | the Alexandria database | PBE | relaxed; SG = Cm, No. 8; formation energy from raw total energies = 0.834 kcal/mol of atoms; total magnetic moment = 0.98 μB/f.u.; DFT total energy = -4.072 eV per atom
1.0
-2.496 -2.481 -2.748
-0.368 -4.286 -1.200
-3.097 -1.742 2.228
Fe Si Zn
1 1 2
Direct
0.485 0.485 0.564 Fe
0.765 0.765 0.679 Si
0.003 0.003 0.029 Zn
0.246 0.246 0.228 Zn